First-principles (PBE) data for a relaxed structure of Cs2NaIn2S4, as listed in Alexandria.

abc: 4.6020 8.4444 7.9794
angles: 107.03 90.00 105.81
Positions (direct):
Cs 0.1223 0.2445 0.5319
S 0.4755 0.9510 0.2282
In 0.3360 0.6720 0.0008
Na 0.0000 0.0000 0.0000
S 0.5245 0.0490 0.7718
In 0.6640 0.3280 0.9992
Cs 0.8777 0.7555 0.4681
S 0.7911 0.5823 0.8412
S 0.2089 0.4177 0.1588

Computed properties:
The energy relative to the elements, uncorrected is -0.857 eV/atom. For the volume, the calculation gives 284.2 Å³ per cell. Its density of states at the Fermi level is 2.7 states/eV per cell.

=====

First-principles (PBE) data for a relaxed structure of BaCaMg, as listed in Alexandria.

abc: 5.9473 5.9473 5.9473
angles: 60.00 60.00 60.00
Positions (direct):
Mg 0.5000 0.5000 0.5000
Ba 0.7500 0.7500 0.7500
Ca 0.0000 0.0000 0.0000

Computed properties:
For the formation energy from the elements, the calculation gives 0.511 eV/atom. For the volume, the calculation gives 148.7 Å³ per cell. The relative energy among the computed polymorphs comes out at 534 meV/atom. Its density of states at the Fermi level is 5.2 states/eV per cell.

=====

First-principles (PBE) data for a relaxed structure of LiCaBeIn, as listed in Alexandria.

abc: 4.7299 4.7299 4.7299
angles: 60.00 60.00 60.00
Positions (direct):
Be 0.2500 0.2500 0.2500
Li 0.7500 0.7500 0.7500
Ca 0.0000 0.0000 0.0000
In 0.5000 0.5000 0.5000

Computed properties:
For the formation energy from the elements, the calculation gives -0.080 eV/atom. For the volume, the calculation gives 74.8 Å³ per cell. Its density of states at the Fermi level is 1.1 states/eV per cell.

=====

First-principles (PBE) data for a relaxed structure of RbDyBeO3, as listed in Alexandria.

abc: 3.4031 7.9142 7.7100
angles: 109.24 90.00 90.00
Positions (direct):
Be 0.2500 0.0634 0.6049
O 0.2500 0.8662 0.4643
Be 0.7500 0.9366 0.3951
Dy 0.7500 0.3386 0.8372
Dy 0.2500 0.6614 0.1628
O 0.7500 0.1338 0.5357
Rb 0.7500 0.8014 0.7720
O 0.2500 0.1380 0.8186
O 0.7500 0.8620 0.1814
O 0.2500 0.5332 0.8548
Rb 0.2500 0.1986 0.2280
O 0.7500 0.4668 0.1452

Computed properties:
The energy relative to the elements, uncorrected is -2.652 eV/atom. For the volume, the calculation gives 196.1 Å³ per cell. Its density of states at the Fermi level is 0.0 states/eV per cell.

=====

First-principles (PBE) data for a relaxed structure of Ti4SnMo, as listed in Alexandria.

abc: 4.4788 4.4838 7.5736
angles: 72.78 72.80 60.04
Positions (direct):
Sn 0.5000 0.5000 0.5000
Ti 0.8862 0.8868 0.3408
Mo 0.0000 0.0000 0.0000
Ti 0.3658 0.3658 0.9026
Ti 0.6342 0.6342 0.0974
Ti 0.1138 0.1132 0.6592

Computed properties:
For the formation energy from the elements, the calculation gives 0.248 eV/atom. For the volume, the calculation gives 123.8 Å³ per cell. Its density of states at the Fermi level is 7.8 states/eV per cell.

=====

First-principles (PBE) data for a relaxed structure of Ba2SF, as listed in Alexandria.

abc: 4.6441 4.6441 8.8148
angles: 74.73 74.73 60.00
Each line ends with the local moment (μB).
Positions (direct):
Ba 0.0976 0.0976 0.7072  0.09
S 0.5000 0.5000 0.5000  -0.02
F 0.0000 0.0000 0.0000  0.00
Ba 0.9024 0.9024 0.2928  0.09

Computed properties:
The energy relative to the elements, uncorrected is -2.238 eV/atom. For the volume, the calculation gives 156.8 Å³ per cell. The relative energy among the computed polymorphs comes out at 71 meV/atom. Its density of states at the Fermi level is 1.8 states/eV per cell.

=====

First-principles (PBE) data for a relaxed structure of HoCo2H6, as listed in Alexandria.

abc: 4.0672 4.3309 4.3309
angles: 120.00 90.00 90.00
Each line ends with the local moment (μB).
Positions (direct):
H 0.2405 0.4999 0.0000  0.00
Co 0.5000 0.3333 0.6667  0.81
Ho 0.0000 0.0000 0.0000  -0.03
H 0.7595 0.0000 0.5001  0.00
H 0.7595 0.5001 0.0000  0.00
H 0.2405 0.5001 0.5001  0.00
H 0.2405 0.0000 0.4999  0.00
Co 0.5000 0.6667 0.3333  0.81
H 0.7595 0.4999 0.4999  0.00

Computed properties:
For the raw total energy, the calculation gives -41.77 eV per formula unit. For the volume, the calculation gives 66.1 Å³ per cell. Its density of states at the Fermi level is 3.4 states/eV per cell.

=====

First-principles (PBE) data for a relaxed structure of BaSc2Ni, as listed in Alexandria.

abc: 5.3451 6.4509 3.3532
angles: 75.59 88.47 114.04
Positions (direct):
Ni 0.5000 0.5000 0.0000
Ba 0.0000 0.5000 0.5000
Sc 0.5000 0.0000 0.5000
Sc 0.0000 0.0000 0.0000

Computed properties:
For the formation energy from the elements, the calculation gives 0.494 eV/atom. For the volume, the calculation gives 101.2 Å³ per cell. The relative energy among the computed polymorphs comes out at 514 meV/atom. Its density of states at the Fermi level is 6.0 states/eV per cell.